A.
DFT (PBE) results for a relaxed Pr2SmTm7 crystal.

abc: 14.7391 14.7391 3.5079
angles: 90.00 90.00 154.69
Atoms (fractional coordinates):
Pr  0.2083  0.7917  0.0000
Pr  0.7917  0.2083  0.0000
Sm  0.5000  0.5000  0.5000
Tm  0.0000  0.0000  0.0000
Tm  0.1552  0.3515  0.0000
Tm  0.3165  0.6835  0.5000
Tm  0.3515  0.1552  0.0000
Tm  0.6485  0.8448  0.0000
Tm  0.6835  0.3165  0.5000
Tm  0.8448  0.6485  0.0000

Properties
- Space-group type: No. 65
- Magnetization: 0.00 μB/f.u.

=====

B.
DFT (PBE) results for a relaxed Pr2SmTm7 crystal.

abc: 6.1314 7.0984 7.9148
angles: 77.31 75.09 73.46
Atoms (fractional coordinates):
Pr  0.2012  0.2986  0.1009
Pr  0.7988  0.7014  0.8991
Sm  0.0000  0.0000  0.5000
Tm  0.0000  0.5000  0.5000
Tm  0.1996  0.7997  0.1016
Tm  0.3989  0.1013  0.6974
Tm  0.4006  0.6003  0.6980
Tm  0.5994  0.3997  0.3020
Tm  0.6011  0.8987  0.3026
Tm  0.8004  0.2003  0.8984

Properties
- Space-group type: No. 2
- Magnetization: 0.00 μB/f.u.

=====

Least stable = A

=====

A.
DFT (PBE) results for a relaxed PrSm7Tm3 crystal.

abc: 7.1599 7.1599 8.6319
angles: 90.00 90.00 120.00
Atoms (fractional coordinates):
Pr  0.0000  0.0000  0.0000
Sm  0.1658  0.3316  0.3328
Sm  0.1658  0.8342  0.3328
Sm  0.5011  0.0021  0.9859
Sm  0.5011  0.4989  0.9859
Sm  0.6667  0.3333  0.3196
Sm  0.6684  0.8342  0.3328
Sm  0.9979  0.4989  0.9859
Tm  0.3343  0.1672  0.6582
Tm  0.8328  0.1672  0.6582
Tm  0.8328  0.6657  0.6582

Properties
- Space-group type: No. 156
- Magnetization: 0.00 μB/f.u.

=====

B.
DFT (PBE) results for a relaxed PrSm7Tm3 crystal.

abc: 6.5399 6.7215 8.7092
angles: 99.52 99.11 95.64
Atoms (fractional coordinates):
Pr  0.0000  0.0000  0.0000
Sm  0.0000  0.5000  0.0000
Sm  0.0505  0.2094  0.6398
Sm  0.2253  0.7209  0.7116
Sm  0.4851  0.2406  0.9099
Sm  0.5149  0.7594  0.0901
Sm  0.7747  0.2791  0.2884
Sm  0.9495  0.7906  0.3602
Tm  0.3081  0.4317  0.3407
Tm  0.5000  0.0000  0.5000
Tm  0.6919  0.5683  0.6593

Properties
- Space-group type: No. 2
- Magnetization: 0.00 μB/f.u.

=====

Least stable = A

=====

A.
DFT (PBE) results for a relaxed PrSm3Tm crystal.

abc: 8.0786 8.0786 6.1933
angles: 90.00 90.00 119.80
Atoms (fractional coordinates):
Pr  0.2018  0.7982  0.7500
Pr  0.7982  0.2018  0.2500
Sm  0.0000  0.0000  0.0000
Sm  0.0000  0.0000  0.5000
Sm  0.2046  0.4002  0.7500
Sm  0.4002  0.2046  0.2500
Sm  0.5998  0.7954  0.7500
Sm  0.7954  0.5998  0.2500
Tm  0.3389  0.6611  0.2500
Tm  0.6611  0.3389  0.7500

Properties
- Space-group type: No. 63
- Magnetization: 0.00 μB/f.u.

=====

B.
DFT (PBE) results for a relaxed PrSm3Tm crystal.

abc: 9.7310 6.1792 11.7681
angles: 90.00 108.31 90.00
Atoms (fractional coordinates):
Pr  0.1960  0.1378  0.1730
Pr  0.1960  0.3622  0.6730
Pr  0.8040  0.6378  0.3270
Pr  0.8040  0.8622  0.8270
Sm  0.0065  0.1723  0.3800
Sm  0.0065  0.3277  0.8800
Sm  0.3969  0.6223  0.2237
Sm  0.3969  0.8777  0.7237
Sm  0.4037  0.2379  0.4765
Sm  0.4037  0.2621  0.9765
Sm  0.5963  0.7379  0.0235
Sm  0.5963  0.7621  0.5235
Sm  0.6031  0.1223  0.2763
Sm  0.6031  0.3777  0.7763
Sm  0.9935  0.6723  0.1200
Sm  0.9935  0.8277  0.6200
Tm  0.2062  0.7094  0.4293
Tm  0.2062  0.7906  0.9293
Tm  0.7938  0.2094  0.0707
Tm  0.7938  0.2906  0.5707

Properties
- Space-group type: No. 14
- Magnetization: 0.00 μB/f.u.

=====

Least stable = A

=====

A.
DFT (PBE) results for a relaxed Pr3Sm5Tm3 crystal.

abc: 11.3368 11.3368 3.4642
angles: 90.00 90.00 120.00
Atoms (fractional coordinates):
Pr  0.0000  0.5970  0.0000
Pr  0.4030  0.4030  0.0000
Pr  0.5970  0.0000  0.0000
Sm  0.0000  0.3361  0.5000
Sm  0.3333  0.6667  0.5000
Sm  0.3361  0.0000  0.5000
Sm  0.6639  0.6639  0.5000
Sm  0.6667  0.3333  0.5000
Tm  0.0000  0.8417  0.5000
Tm  0.1583  0.1583  0.5000
Tm  0.8417  0.0000  0.5000

Properties
- Space-group type: No. 189
- Magnetization: 0.00 μB/f.u.

=====

B.
DFT (PBE) results for a relaxed Pr3Sm5Tm3 crystal.

abc: 9.7209 9.7209 5.6239
angles: 90.00 90.00 120.00
Atoms (fractional coordinates):
Pr  0.0000  0.5733  0.0000
Pr  0.4267  0.4267  0.0000
Pr  0.5733  0.0000  0.0000
Sm  0.0000  0.7288  0.5000
Sm  0.2712  0.2712  0.5000
Sm  0.3333  0.6667  0.5000
Sm  0.6667  0.3333  0.5000
Sm  0.7288  0.0000  0.5000
Tm  0.0000  0.3692  0.5000
Tm  0.3692  0.0000  0.5000
Tm  0.6308  0.6308  0.5000

Properties
- Space-group type: No. 189
- Magnetization: 0.00 μB/f.u.

=====

Least stable = B

=====

A.
DFT (PBE) results for a relaxed PrSmYTm crystal.

abc: 5.7357 5.7357 5.7357
angles: 60.00 60.00 60.00
Atoms (fractional coordinates):
Pr  0.0000  0.0000  0.0000
Sm  0.5000  0.5000  0.5000
Y  0.7500  0.7500  0.7500
Tm  0.2500  0.2500  0.2500

Properties
- Space-group type: No. 216
- Magnetization: 0.00 μB/f.u.

=====

B.
DFT (PBE) results for a relaxed PrSmYTm crystal.

abc: 6.8983 6.8983 3.8072
angles: 105.65 105.65 50.47
Atoms (fractional coordinates):
Pr  0.0000  0.0000  0.0000
Sm  0.2667  0.2667  0.7998
Y  0.5177  0.5177  0.5285
Tm  0.7549  0.7549  0.2773

Properties
- Space-group type: No. 8
- Magnetization: 0.00 μB/f.u.

=====

Least stable = B

=====

A.
DFT (PBE) results for a relaxed PrSmTmZn crystal.

abc: 5.4205 5.4205 5.4205
angles: 60.00 60.00 60.00
Atoms (fractional coordinates):
Pr  0.0000  0.0000  0.0000
Sm  0.5000  0.5000  0.5000
Tm  0.7500  0.7500  0.7500
Zn  0.2500  0.2500  0.2500

Properties
- Space-group type: No. 216
- Magnetization: 0.00 μB/f.u.

=====

B.
DFT (PBE) results for a relaxed PrSmTmZn crystal.

abc: 3.6088 3.6088 8.7624
angles: 90.00 90.00 90.00
Atoms (fractional coordinates):
Pr  0.0000  0.0000  0.0000
Sm  0.5000  0.5000  0.6954
Tm  0.5000  0.5000  0.2916
Zn  0.0000  0.0000  0.4789

Properties
- Space-group type: No. 99
- Magnetization: 0.00 μB/f.u.

=====

Least stable = A